Entry from the Alexandria database: a relaxed structure of K2TlIrO6 (GGA-PBE).

Cell and atoms, written as CIF:
```
data_K2TlIrO6
_symmetry_space_group_name_H-M 'R -3 m'
_symmetry_Int_Tables_number 166
_symmetry_space_group_name_Hall '-R 3 2"'
_cell_length_a 6.2166
_cell_length_b 6.2166
_cell_length_c 29.8461
_cell_angle_alpha 90.00
_cell_angle_beta 90.00
_cell_angle_gamma 120.00
loop_
_atom_site_label
_atom_site_type_symbol
_atom_site_fract_x
_atom_site_fract_y
_atom_site_fract_z
K1 K 0.0000 0.0000 0.1305
K2 K 0.0000 0.0000 0.2686
Tl1 Tl 0.0000 0.0000 0.3992
Ir1 Ir 0.0000 0.0000 0.0000
Ir2 Ir 0.0000 0.0000 0.5000
O1 O 0.0496 0.5248 0.1279
O2 O 0.0496 0.5248 0.7050
```

Calculated values
Total moment = 0.9 μB/f.u.
DOS at the Fermi energy = 29.01 states/eV per cell
Calculated volume = 166.5 Å³/f.u.
Total DFT energy (no corrections) = -310.91 eV for the cell shown
Formation energy (no corrections) = -0.8647 eV per atom

***

Entry from the Alexandria database: a relaxed structure of KTlIrO6 (GGA-PBE).

Cell and atoms, written as CIF:
```
data_KTlIrO6
_symmetry_space_group_name_H-M 'C 1 2 1'
_symmetry_Int_Tables_number 5
_symmetry_space_group_name_Hall 'C 2y'
_cell_length_a 5.7091
_cell_length_b 9.9209
_cell_length_c 5.6709
_cell_angle_alpha 90.00
_cell_angle_beta 90.15
_cell_angle_gamma 90.00
loop_
_atom_site_label
_atom_site_type_symbol
_atom_site_fract_x
_atom_site_fract_y
_atom_site_fract_z
K1 K 0.0000 0.0000 0.0000
Tl1 Tl 0.0000 0.3342 0.5000
Ir1 Ir 0.0000 0.6671 0.5000
O1 O 0.1128 0.5261 0.3065
O2 O 0.1572 0.7936 0.3055
O3 O 0.2335 0.1834 0.3036
```

Calculated values
Total moment = 0.0 μB/f.u.
DOS at the Fermi energy = 8.60 states/eV per cell
Calculated volume = 160.6 Å³/f.u.
Total DFT energy (no corrections) = -95.84 eV for the cell shown
Formation energy (no corrections) = -0.6497 eV per atom